# TbHo2I

A relaxed TbHo2I crystal (PBE, Alexandria).

a = 10.6128 Å, b = 10.6128 Å, c = 10.6128 Å
α = 20.36°, β = 20.36°, γ = 20.36°
Fractional positions:
Tb1 0.0000 0.0000 0.0000
Ho1 0.2452 0.2452 0.2452
Ho2 0.4206 0.4206 0.4206
I1 0.8331 0.8331 0.8331

Results
formation energy without anion corrections = -0.325 eV/atom
volume = 127 Å³/cell
SG = R3m, No. 160
magnetic moment = 0.000 μB/atom
calculated total energy = -16.64 eV per cell


# TbHoI

A relaxed TbHoI crystal (PBE, Alexandria).

a = 7.4035 Å, b = 7.4035 Å, c = 7.4035 Å
α = 151.24°, β = 151.24°, γ = 41.13°
Fractional positions:
Tb1 0.0000 0.0000 0.0000
Ho1 0.6681 0.6681 0.0000
I1 0.3331 0.3331 0.0000

Results
formation energy without anion corrections = -0.403 eV/atom
volume = 94 Å³/cell
SG = I4mm, No. 107
magnetic moment = 0.000 μB/atom
calculated total energy = -11.97 eV per cell


# Tb2HoI

A relaxed Tb2HoI crystal (PBE, Alexandria).

a = 3.6357 Å, b = 3.6357 Å, c = 9.4992 Å
α = 90.00°, β = 90.00°, γ = 90.00°
Fractional positions:
Tb1 0.0000 0.0000 0.2448
Tb2 0.0000 0.0000 0.7552
Ho1 0.5000 0.5000 0.5000
I1 0.5000 0.5000 0.0000

Results
formation energy without anion corrections = -0.291 eV/atom
volume = 126 Å³/cell
SG = P4/mmm, No. 123
magnetic moment = 0.000 μB/atom
calculated total energy = -16.55 eV per cell


# Tb2HoI

A relaxed Tb2HoI crystal (PBE, Alexandria).

a = 10.7100 Å, b = 10.7100 Å, c = 10.7100 Å
α = 20.08°, β = 20.08°, γ = 20.08°
Fractional positions:
Tb1 0.2458 0.2458 0.2458
Tb2 0.7542 0.7542 0.7542
Ho1 0.0000 0.0000 0.0000
I1 0.5000 0.5000 0.5000

Results
formation energy without anion corrections = -0.345 eV/atom
volume = 127 Å³/cell
SG = R-3m, No. 166
magnetic moment = 0.000 μB/atom
calculated total energy = -16.77 eV per cell